1.
Here is a relaxed Cs2PtS2 crystal from Alexandria via LeMat-Bulk. Energies are from PBE.

a b c (Å): 7.3735 11.0795 3.7135
angles (deg): 90.00 90.00 90.00
Atoms (fractional coordinates):
Cs 0.0684 0.1711 0.0000
Cs 0.4316 0.6711 0.0000
Cs 0.5684 0.3289 0.0000
Cs 0.9316 0.8289 0.0000
Pt 0.0000 0.5000 0.0000
Pt 0.5000 0.0000 0.0000
S 0.1862 0.4408 0.5000
S 0.3138 0.9408 0.5000
S 0.6862 0.0592 0.5000
S 0.8138 0.5592 0.5000

Values from the calculation:
space group	No. 55
formation energy without anion corrections	-4.404	eV per formula unit



2.
Here is a relaxed YGeAs3 crystal from Alexandria via LeMat-Bulk. Energies are from PBE.

a b c (Å): 4.9323 4.9323 4.9323
angles (deg): 90.00 90.00 90.00
Atoms (fractional coordinates):
Y 0.0000 0.0000 0.0000
Ge 0.5000 0.5000 0.5000
As 0.0000 0.5000 0.5000
As 0.5000 0.0000 0.5000
As 0.5000 0.5000 0.0000

Values from the calculation:
distance to the lowest polymorph of the same formula	0	meV per atom
space group	No. 221



3.
Here is a relaxed MnAg3 crystal from Alexandria via LeMat-Bulk. Energies are from PBE.

a b c (Å): 2.8916 4.7687 5.0119
angles (deg): 90.00 90.00 90.00
Atoms (fractional coordinates):
Mn 0.0000 0.0000 0.0000
Ag 0.0000 0.5000 0.6752
Ag 0.5000 0.0000 0.4993
Ag 0.5000 0.5000 0.1686

Values from the calculation:
E	-16.93	eV per cell
space group	No. 25



4.
Here is a relaxed CaBePt2 crystal from Alexandria via LeMat-Bulk. Energies are from PBE.

a b c (Å): 5.4153 5.4153 5.4153
angles (deg): 145.70 131.69 60.58
Atoms (fractional coordinates):
Ca 0.0000 0.0000 0.0000
Be 0.7242 0.2242 0.5000
Pt 0.2800 0.7800 0.5000
Pt 0.5512 0.5512 0.0000

Values from the calculation:
E	-19.63	eV per cell
space group	No. 44



5.
Here is a relaxed Tb2GaAg crystal from Alexandria via LeMat-Bulk. Energies are from PBE.

a b c (Å): 3.5657 3.5657 7.4727
angles (deg): 90.00 90.00 90.00
Atoms (fractional coordinates):
Tb 0.0000 0.0000 0.2450
Tb 0.0000 0.0000 0.7550
Ga 0.5000 0.5000 0.0000
Ag 0.5000 0.5000 0.5000

Values from the calculation:
E	-16.95	eV per cell
space group	No. 123



6.
Here is a relaxed TiVMo2 crystal from Alexandria via LeMat-Bulk. Energies are from PBE.

a b c (Å): 3.1066 3.1066 6.2884
angles (deg): 90.00 90.00 90.00
Atoms (fractional coordinates):
Ti 0.0000 0.0000 0.0000
V 0.0000 0.0000 0.5000
Mo 0.5000 0.5000 0.2595
Mo 0.5000 0.5000 0.7405

Values from the calculation:
distance to the lowest polymorph of the same formula	0	meV per atom
space group	No. 123